A relaxed SiIrAu2 crystal, computed with PBE.

Size of the total moment: 0.0 μB per cell
Uncorrected formation energy: 229 meV/atom
Space group: P4/mmm (123)
Total energy: -4.98 eV/atom

abc: 3.872 3.872 4.276
angles: 90.00 90.00 90.00
Positions (direct):
Si  0.000  0.000  0.000
Ir  0.500  0.500  0.000
Au  0.000  0.500  0.500
Au  0.500  0.000  0.500

---

A relaxed SiIrAu2 crystal, computed with PBE.

Size of the total moment: 0.0 μB per cell
Uncorrected formation energy: 255 meV/atom
Space group: Cmmm (65)
Total energy: -4.95 eV/atom

abc: 4.605 4.605 3.315
angles: 90.00 90.00 110.25
Positions (direct):
Si  0.000  0.000  0.000
Ir  0.500  0.500  0.000
Au  0.000  0.500  0.500
Au  0.500  0.000  0.500

---

A relaxed Si3Ir3Au crystal, computed with PBE.

Size of the total moment: 0.0 μB per cell
Uncorrected formation energy: 102 meV/atom
Space group: Pm-3n (223)
Total energy: -6.49 eV/atom

abc: 6.528 6.528 6.528
angles: 90.00 90.00 90.00
Positions (direct):
Si  0.000  0.250  0.500
Si  0.000  0.750  0.500
Si  0.250  0.500  0.000
Si  0.500  0.000  0.250
Si  0.500  0.000  0.750
Si  0.750  0.500  0.000
Ir  0.000  0.500  0.250
Ir  0.000  0.500  0.750
Ir  0.250  0.000  0.500
Ir  0.500  0.250  0.000
Ir  0.500  0.750  0.000
Ir  0.750  0.000  0.500
Au  0.000  0.000  0.000
Au  0.500  0.500  0.500

---

A relaxed SiIrAu2 crystal, computed with PBE.

Size of the total moment: 0.0 μB per cell
Uncorrected formation energy: 279 meV/atom
Space group: I4/mmm (139)
Total energy: -4.93 eV/atom

abc: 5.256 5.256 5.256
angles: 137.68 137.68 61.39
Positions (direct):
Si  0.000  0.000  0.000
Ir  0.500  0.500  0.000
Au  0.250  0.750  0.500
Au  0.750  0.250  0.500